First-principles (PBE) data for a relaxed PaAlFeRu crystal, as listed in Alexandria via LeMat-Bulk.

Results
For the total magnetic moment, the calculation gives 0.00 μB per cell. The total energy is -32.45 eV/cell. Its density of states at the Fermi level is 2.47 states/eV/f.u.

a b c (Å): 4.536 4.536 4.536
angles (deg): 60.00 60.00 60.00
Positions (direct):
Pa  0.000  0.000  0.000
Al  0.500  0.500  0.500
Fe  0.250  0.250  0.250
Ru  0.750  0.750  0.750


First-principles (PBE) data for a relaxed Mn2TcRu2 crystal, as listed in Alexandria via LeMat-Bulk.

Results
For the total magnetic moment, the calculation gives 0.00 μB per cell. The total energy is -93.04 eV/cell. Its density of states at the Fermi level is 5.59 states/eV/f.u. Its offset from the most stable computed form is 0 meV per atom.

a b c (Å): 6.965 6.965 2.693
angles (deg): 90.00 90.00 90.00
Positions (direct):
Mn  0.121  0.379  0.000
Mn  0.379  0.879  0.000
Mn  0.621  0.121  0.000
Mn  0.879  0.621  0.000
Tc  0.000  0.000  0.000
Tc  0.500  0.500  0.000
Ru  0.174  0.674  0.500
Ru  0.326  0.174  0.500
Ru  0.674  0.826  0.500
Ru  0.826  0.326  0.500


First-principles (PBE) data for a relaxed Pm3Mg2Au3 crystal, as listed in Alexandria via LeMat-Bulk.

Results
For the total magnetic moment, the calculation gives 0.00 μB per cell. The total energy is -65.24 eV/cell. Its density of states at the Fermi level is 6.82 states/eV/f.u.

a b c (Å): 8.774 8.774 5.921
angles (deg): 90.00 90.00 120.00
Positions (direct):
Pm  0.000  0.267  0.250
Pm  0.000  0.733  0.750
Pm  0.267  0.000  0.250
Pm  0.267  0.267  0.750
Pm  0.733  0.000  0.750
Pm  0.733  0.733  0.250
Mg  0.333  0.667  0.000
Mg  0.333  0.667  0.500
Mg  0.667  0.333  0.000
Mg  0.667  0.333  0.500
Au  0.000  0.392  0.750
Au  0.000  0.608  0.250
Au  0.392  0.000  0.750
Au  0.392  0.392  0.250
Au  0.608  0.000  0.250
Au  0.608  0.608  0.750


First-principles (PBE) data for a relaxed LaScCl2 crystal, as listed in Alexandria via LeMat-Bulk.

Results
For the total magnetic moment, the calculation gives 0.00 μB per cell. The total energy is -20.26 eV/cell. Its density of states at the Fermi level is 3.88 states/eV/f.u. Its offset from the most stable computed form is 44 meV per atom.

a b c (Å): 3.636 8.809 8.809
angles (deg): 23.76 90.00 90.00
Positions (direct):
La  0.000  0.000  0.000
Sc  0.500  0.645  0.645
Cl  0.000  0.198  0.198
Cl  0.500  0.404  0.404


First-principles (PBE) data for a relaxed Er6SnGe2S3 crystal, as listed in Alexandria via LeMat-Bulk.

Results
For the total magnetic moment, the calculation gives 0.00 μB per cell. The total energy is -69.32 eV/cell. Its density of states at the Fermi level is 3.87 states/eV/f.u.

a b c (Å): 9.075 9.075 8.166
angles (deg): 103.46 103.46 25.59
Positions (direct):
Er  0.000  0.000  0.232
Er  0.000  0.000  0.768
Er  0.327  0.327  0.411
Er  0.331  0.331  0.919
Er  0.669  0.669  0.081
Er  0.673  0.673  0.589
Sn  0.500  0.500  0.500
Ge  0.166  0.166  0.832
Ge  0.834  0.834  0.168
S  0.167  0.167  0.331
S  0.500  0.500  0.000
S  0.833  0.833  0.669


First-principles (PBE) data for a relaxed Tc2RuPbSe crystal, as listed in Alexandria via LeMat-Bulk.

Results
For the total magnetic moment, the calculation gives 8.97 μB per cell. The total energy is -24.44 eV/cell. Its density of states at the Fermi level is 6.50 states/eV/f.u.

a b c (Å): 5.165 5.165 5.299
angles (deg): 90.00 90.00 90.00
Positions (direct):
Tc  0.000  0.500  0.000
Tc  0.500  0.000  0.000
Ru  0.000  0.000  0.500
Pb  0.500  0.500  0.000
Se  0.500  0.500  0.500


First-principles (PBE) data for a relaxed CuNiSeN2 crystal, as listed in Alexandria via LeMat-Bulk.

Results
For the total magnetic moment, the calculation gives 1.48 μB per cell. The total energy is -24.14 eV/cell. Its density of states at the Fermi level is 3.83 states/eV/f.u. Its offset from the most stable computed form is 0 meV per atom.

a b c (Å): 3.564 3.564 5.576
angles (deg): 90.00 90.00 90.00
Positions (direct):
Cu  0.000  0.000  0.000
Ni  0.500  0.500  0.500
Se  0.500  0.500  0.000
N  0.000  0.500  0.500
N  0.500  0.000  0.500


First-principles (PBE) data for a relaxed YRuPb2 crystal, as listed in Alexandria via LeMat-Bulk.

Results
For the total magnetic moment, the calculation gives 0.00 μB per cell. The total energy is -22.91 eV/cell. Its density of states at the Fermi level is 3.70 states/eV/f.u.

a b c (Å): 4.512 4.512 4.574
angles (deg): 90.00 90.00 90.00
Positions (direct):
Y  0.000  0.000  0.000
Ru  0.500  0.500  0.000
Pb  0.000  0.500  0.500
Pb  0.500  0.000  0.500


First-principles (PBE) data for a relaxed ZrAlBr2 crystal, as listed in Alexandria via LeMat-Bulk.

Results
For the total magnetic moment, the calculation gives 0.00 μB per cell. The total energy is -17.90 eV/cell. Its density of states at the Fermi level is 3.06 states/eV/f.u. Its offset from the most stable computed form is 153 meV per atom.

a b c (Å): 7.710 7.710 5.094
angles (deg): 98.64 98.64 24.41
Positions (direct):
Zr  0.000  0.000  0.000
Al  0.500  0.500  0.500
Br  0.355  0.355  0.803
Br  0.645  0.645  0.197


First-principles (PBE) data for a relaxed CaGa4Cu2Ag crystal, as listed in Alexandria via LeMat-Bulk.

Results
For the total magnetic moment, the calculation gives 0.00 μB per cell. The total energy is -26.57 eV/cell. Its density of states at the Fermi level is 2.47 states/eV/f.u.

a b c (Å): 9.736 9.736 9.736
angles (deg): 25.10 25.10 25.10
Positions (direct):
Ca  0.000  0.000  0.000
Ga  0.119  0.119  0.119
Ga  0.400  0.400  0.400
Ga  0.600  0.600  0.600
Ga  0.881  0.881  0.881
Cu  0.237  0.237  0.237
Cu  0.763  0.763  0.763
Ag  0.500  0.500  0.500


First-principles (PBE) data for a relaxed NaNbP2 crystal, as listed in Alexandria via LeMat-Bulk.

Results
For the total magnetic moment, the calculation gives 0.00 μB per cell. The total energy is -24.16 eV/cell. Its density of states at the Fermi level is 1.56 states/eV/f.u. Its offset from the most stable computed form is 3 meV per atom.

a b c (Å): 7.755 7.755 7.755
angles (deg): 25.65 25.65 25.65
Positions (direct):
Na  0.000  0.000  0.000
Nb  0.168  0.168  0.168
P  0.571  0.571  0.571
P  0.763  0.763  0.763


First-principles (PBE) data for a relaxed BaInAs2 crystal, as listed in Alexandria via LeMat-Bulk.

Results
For the total magnetic moment, the calculation gives 0.00 μB per cell. The total energy is -14.91 eV/cell. Its density of states at the Fermi level is 3.52 states/eV/f.u.

a b c (Å): 6.317 6.317 6.317
angles (deg): 138.18 138.18 60.63
Positions (direct):
Ba  0.000  0.000  0.000
In  0.250  0.750  0.500
As  0.500  0.500  0.000
As  0.750  0.250  0.500


First-principles (PBE) data for a relaxed Mn3SiIr crystal, as listed in Alexandria via LeMat-Bulk.

Results
For the total magnetic moment, the calculation gives 0.00 μB per cell. The total energy is -36.74 eV/cell. Its density of states at the Fermi level is 11.62 states/eV/f.u. Its offset from the most stable computed form is 1219 meV per atom.

a b c (Å): 4.090 4.090 4.090
angles (deg): 90.00 90.00 90.00
Positions (direct):
Mn  0.000  0.000  0.500
Mn  0.000  0.500  0.000
Mn  0.500  0.000  0.000
Si  0.000  0.000  0.000
Ir  0.500  0.500  0.500


First-principles (PBE) data for a relaxed LaCrAu4 crystal, as listed in Alexandria via LeMat-Bulk.

Results
For the total magnetic moment, the calculation gives 5.24 μB per cell. The total energy is -29.15 eV/cell. Its density of states at the Fermi level is 5.13 states/eV/f.u.

a b c (Å): 5.629 5.629 5.629
angles (deg): 60.00 60.00 60.00
Positions (direct):
La  0.000  0.000  0.000
Cr  0.250  0.250  0.250
Au  0.127  0.624  0.624
Au  0.624  0.127  0.624
Au  0.624  0.624  0.127
Au  0.624  0.624  0.624


First-principles (PBE) data for a relaxed Ba6TePd2I3 crystal, as listed in Alexandria via LeMat-Bulk.

Results
For the total magnetic moment, the calculation gives 0.00 μB per cell. The total energy is -43.95 eV/cell. Its density of states at the Fermi level is 6.09 states/eV/f.u.

a b c (Å): 11.264 11.264 10.398
angles (deg): 107.45 107.45 24.37
Positions (direct):
Ba  0.019  0.019  0.250
Ba  0.321  0.321  0.440
Ba  0.332  0.332  0.874
Ba  0.668  0.668  0.126
Ba  0.679  0.679  0.560
Ba  0.981  0.981  0.750
Te  0.500  0.500  0.000
Pd  0.169  0.169  0.338
Pd  0.831  0.831  0.662
I  0.158  0.158  0.839
I  0.500  0.500  0.500
I  0.842  0.842  0.161


First-principles (PBE) data for a relaxed La2Fe2Os crystal, as listed in Alexandria via LeMat-Bulk.

Results
For the total magnetic moment, the calculation gives 4.09 μB per cell. The total energy is -36.67 eV/cell. Its density of states at the Fermi level is 5.50 states/eV/f.u. Its offset from the most stable computed form is 40 meV per atom.

a b c (Å): 9.372 9.372 9.372
angles (deg): 159.05 159.05 29.80
Positions (direct):
La  0.101  0.101  0.000
La  0.899  0.899  0.000
Fe  0.250  0.750  0.500
Fe  0.750  0.250  0.500
Os  0.500  0.500  0.000


First-principles (PBE) data for a relaxed Ta2BeRu crystal, as listed in Alexandria via LeMat-Bulk.

Results
For the total magnetic moment, the calculation gives 0.00 μB per cell. The total energy is -36.86 eV/cell. Its density of states at the Fermi level is 3.58 states/eV/f.u.

a b c (Å): 5.130 5.130 5.130
angles (deg): 137.64 137.64 61.45
Positions (direct):
Ta  0.000  0.000  0.000
Ta  0.750  0.250  0.500
Be  0.250  0.750  0.500
Ru  0.500  0.500  0.000


First-principles (PBE) data for a relaxed Cs5Pm2Cl12 crystal, as listed in Alexandria via LeMat-Bulk.

Results
For the total magnetic moment, the calculation gives 1.11 μB per cell. The total energy is -73.23 eV/cell. Its offset from the most stable computed form is 9 meV per atom.

a b c (Å): 9.862 9.862 8.517
angles (deg): 98.77 98.77 64.24
Positions (direct):
Cs  0.000  0.000  0.000
Cs  0.247  0.247  0.464
Cs  0.355  0.355  0.967
Cs  0.645  0.645  0.033
Cs  0.753  0.753  0.536
Pm  0.228  0.772  0.500
Pm  0.772  0.228  0.500
Cl  0.076  0.076  0.645
Cl  0.111  0.686  0.726
Cl  0.163  0.566  0.278
Cl  0.314  0.889  0.274
Cl  0.434  0.837  0.722
Cl  0.461  0.461  0.618
Cl  0.539  0.539  0.382
Cl  0.566  0.163  0.278
Cl  0.686  0.111  0.726
Cl  0.837  0.434  0.722
Cl  0.889  0.314  0.274
Cl  0.924  0.924  0.355


First-principles (PBE) data for a relaxed TlTcHgF6 crystal, as listed in Alexandria via LeMat-Bulk.

Results
For the total magnetic moment, the calculation gives 1.98 μB per cell. The total energy is -40.58 eV/cell. Its density of states at the Fermi level is 5.37 states/eV/f.u.

a b c (Å): 5.035 6.635 6.698
angles (deg): 60.47 89.98 89.94
Positions (direct):
Tl  0.000  0.000  0.000
Tc  0.000  0.332  0.337
Hg  0.500  0.665  0.671
F  0.212  0.093  0.329
F  0.215  0.324  0.580
F  0.216  0.575  0.103
F  0.783  0.099  0.579
F  0.784  0.323  0.102
F  0.787  0.580  0.328


First-principles (PBE) data for a relaxed SiMo2Au crystal, as listed in Alexandria via LeMat-Bulk.

Results
For the total magnetic moment, the calculation gives 0.00 μB per cell. The total energy is -30.34 eV/cell. Its density of states at the Fermi level is 2.44 states/eV/f.u.

a b c (Å): 2.984 2.984 6.917
angles (deg): 90.00 90.00 90.00
Positions (direct):
Si  0.000  0.000  0.000
Mo  0.500  0.500  0.215
Mo  0.500  0.500  0.785
Au  0.000  0.000  0.500


First-principles (PBE) data for a relaxed LiZn8Ag6 crystal, as listed in Alexandria via LeMat-Bulk.

Results
For the total magnetic moment, the calculation gives 0.00 μB per cell. The total energy is -29.16 eV/cell. Its density of states at the Fermi level is 4.28 states/eV/f.u. Its offset from the most stable computed form is 0 meV per atom.

a b c (Å): 6.897 6.897 6.897
angles (deg): 65.32 65.32 65.32
Positions (direct):
Li  0.000  0.000  0.000
Zn  0.121  0.820  0.443
Zn  0.180  0.557  0.879
Zn  0.256  0.256  0.256
Zn  0.443  0.121  0.820
Zn  0.557  0.879  0.180
Zn  0.744  0.744  0.744
Zn  0.820  0.443  0.121
Zn  0.879  0.180  0.557
Ag  0.106  0.363  0.662
Ag  0.338  0.894  0.637
Ag  0.363  0.662  0.106
Ag  0.637  0.338  0.894
Ag  0.662  0.106  0.363
Ag  0.894  0.637  0.338


First-principles (PBE) data for a relaxed TiTeAs2Se crystal, as listed in Alexandria via LeMat-Bulk.

Results
For the total magnetic moment, the calculation gives 0.00 μB per cell. The total energy is -23.43 eV/cell. Its density of states at the Fermi level is 4.83 states/eV/f.u. Its offset from the most stable computed form is 0 meV per atom.

a b c (Å): 5.055 5.055 4.752
angles (deg): 90.00 90.00 90.00
Positions (direct):
Ti  0.000  0.000  0.000
Te  0.500  0.500  0.500
As  0.000  0.500  0.000
As  0.500  0.000  0.000
Se  0.000  0.000  0.500


First-principles (PBE) data for a relaxed NdTh2Sc8 crystal, as listed in Alexandria via LeMat-Bulk.

Results
For the total magnetic moment, the calculation gives 0.00 μB per cell. The total energy is -68.41 eV/cell. Its density of states at the Fermi level is 16.16 states/eV/f.u. Its offset from the most stable computed form is 0 meV per atom.

a b c (Å): 9.712 9.712 5.140
angles (deg): 92.51 92.51 39.47
Positions (direct):
Nd  0.000  0.000  0.000
Th  0.282  0.282  0.746
Th  0.718  0.718  0.254
Sc  0.140  0.603  0.271
Sc  0.179  0.179  0.232
Sc  0.397  0.860  0.729
Sc  0.453  0.453  0.763
Sc  0.547  0.547  0.237
Sc  0.603  0.140  0.271
Sc  0.821  0.821  0.768
Sc  0.860  0.397  0.729


First-principles (PBE) data for a relaxed Al5Rh crystal, as listed in Alexandria via LeMat-Bulk.

Results
For the total magnetic moment, the calculation gives 0.00 μB per cell. The total energy is -27.81 eV/cell. Its density of states at the Fermi level is 3.28 states/eV/f.u.

a b c (Å): 4.408 7.180 7.180
angles (deg): 24.08 90.00 90.00
Positions (direct):
Al  0.000  0.000  0.000
Al  0.000  0.316  0.316
Al  0.500  0.109  0.109
Al  0.500  0.435  0.435
Al  0.500  0.769  0.769
Rh  0.000  0.662  0.662


First-principles (PBE) data for a relaxed KOsPt crystal, as listed in Alexandria via LeMat-Bulk.

Results
For the total magnetic moment, the calculation gives 0.00 μB per cell. The total energy is -17.03 eV/cell. Its density of states at the Fermi level is 2.02 states/eV/f.u. Its offset from the most stable computed form is 0 meV per atom.

a b c (Å): 6.496 6.496 6.496
angles (deg): 156.00 142.07 45.39
Positions (direct):
K  0.000  0.000  0.000
Os  0.724  0.724  0.000
Pt  0.280  0.280  0.000